A plane-wave DFT calculation with PBE with a Hubbard U was carried out for a relaxed Cs2PaFeO6 crystal.

Values from the calculation:
Total DFT energy (no corrections)   -6.601 eV/atom
Total magnetic moment   3.06 μB/f.u.
Space group   No. 164
Calculated volume   219.2 Å³/cell

abc: 5.6669 6.6837 6.6837
angles: 120.00 90.00 90.00
Closest atoms and distances in Å follow each position.
Element x y z (fractional)
Cs  0.8656  0.6667  0.3333  9 O 3.10-3.40
Cs  0.1344  0.3333  0.6667  9 O 3.10-3.40
O  0.2161  0.2565  0.1282  1 Fe 1.92
O  0.2161  0.8718  0.7435  1 Fe 1.92
O  0.7839  0.7435  0.8718  1 Fe 1.92
O  0.7839  0.1282  0.8718  1 Fe 1.92
O  0.7839  0.1282  0.2565  1 Fe 1.92
O  0.2161  0.8718  0.1282  1 Fe 1.92
Pa  0.5000  0.0000  0.0000  6 O 2.19
Fe  0.0000  0.0000  0.0000  6 O 1.92